Density functional theory data (GGA-PBE) for a relaxed Cs3Ca2TlF9 crystal.

Structure (POSCAR):
```
Cs3Ca2TlF9
1.0
6.580 0.000 0.000
-3.290 5.698 0.000
0.000 0.000 8.074
Cs Ca Tl F
3 2 1 9
direct
0.000 0.000 0.000 Cs
0.333 0.667 0.662 Cs
0.667 0.333 0.338 Cs
0.333 0.667 0.157 Ca
0.667 0.333 0.843 Ca
0.000 0.000 0.500 Tl
0.000 0.500 0.000 F
0.173 0.345 0.325 F
0.173 0.827 0.325 F
0.345 0.173 0.675 F
0.500 0.000 0.000 F
0.500 0.500 0.000 F
0.655 0.827 0.325 F
0.827 0.173 0.675 F
0.827 0.655 0.675 F
```

Output
- ΔE_f (raw): -3.024 eV/atom
- Uncorrected energy: -71.12 eV/cell

Density functional theory data (GGA-PBE) for a relaxed CsCaTlF4 crystal.

Structure (POSCAR):
```
CsCaTlF4
1.0
-2.259 2.259 7.294
2.259 -2.259 7.294
2.259 2.259 -7.294
Cs Ca Tl F
1 1 1 4
direct
0.000 0.000 0.000 Cs
0.348 0.348 0.000 Ca
0.700 0.700 0.000 Tl
0.194 0.194 0.000 F
0.346 0.846 0.500 F
0.508 0.508 0.000 F
0.846 0.346 0.500 F
```

Output
- ΔE_f (raw): -2.948 eV/atom
- Uncorrected energy: -33.34 eV/cell

Density functional theory data (GGA-PBE) for a relaxed CsCaTlF6 crystal.

Structure (POSCAR):
```
CsCaTlF6
1.0
-4.051 4.168 5.827
4.051 -4.168 5.827
4.051 4.168 -5.827
Cs Ca Tl F
2 2 2 12
direct
0.338 0.088 0.250 Cs
0.662 0.912 0.750 Cs
0.000 0.000 0.500 Ca
0.000 0.500 0.000 Ca
0.000 0.500 0.500 Tl
0.500 0.500 0.000 Tl
0.069 0.422 0.251 F
0.069 0.818 0.646 F
0.078 0.828 0.250 F
0.322 0.572 0.750 F
0.329 0.182 0.751 F
0.329 0.578 0.146 F
0.671 0.422 0.854 F
0.671 0.818 0.249 F
0.678 0.428 0.250 F
0.922 0.172 0.750 F
0.931 0.182 0.354 F
0.931 0.578 0.749 F
```

Output
- ΔE_f (raw): -2.764 eV/atom
- Uncorrected energy: -82.65 eV/cell

Density functional theory data (GGA-PBE) for a relaxed Cs2Ca2TlF7 crystal.

Structure (POSCAR):
```
Cs2Ca2TlF7
1.0
3.201 -3.202 0.000
3.201 3.202 0.000
-3.201 0.000 11.996
Cs Ca Tl F
2 2 1 7
direct
0.187 0.187 0.375 Cs
0.813 0.813 0.625 Cs
0.406 0.406 0.811 Ca
0.594 0.594 0.189 Ca
0.000 0.000 0.000 Tl
0.090 0.590 0.182 F
0.312 0.312 0.623 F
0.410 0.910 0.818 F
0.500 0.500 0.000 F
0.590 0.090 0.182 F
0.688 0.688 0.377 F
0.910 0.410 0.818 F
```

Output
- ΔE_f (raw): -3.166 eV/atom
- Uncorrected energy: -59.17 eV/cell

Density functional theory data (GGA-PBE) for a relaxed CsCa2TlF8 crystal.

Structure (POSCAR):
```
CsCa2TlF8
1.0
4.293 0.000 0.000
0.000 7.877 0.000
-0.810 0.000 5.862
Cs Ca Tl F
1 2 1 8
direct
0.000 0.000 0.000 Cs
0.500 0.249 0.500 Ca
0.500 0.751 0.500 Ca
0.000 0.500 0.000 Tl
0.003 0.300 0.731 F
0.003 0.700 0.731 F
0.437 0.000 0.695 F
0.478 0.500 0.233 F
0.522 0.500 0.767 F
0.563 0.000 0.305 F
0.997 0.300 0.269 F
0.997 0.700 0.269 F
```

Output
- ΔE_f (raw): -2.943 eV/atom
- Uncorrected energy: -57.51 eV/cell

Density functional theory data (GGA-PBE) for a relaxed Cs2CaTmF6 crystal.

Structure (POSCAR):
```
Cs2CaTmF6
1.0
6.715 0.000 0.000
0.000 9.165 0.000
0.000 0.000 6.358
Cs Ca Tm F
4 2 2 12
direct
0.250 0.001 0.228 Cs
0.250 0.499 0.228 Cs
0.750 0.501 0.772 Cs
0.750 0.999 0.772 Cs
0.250 0.250 0.738 Ca
0.750 0.750 0.262 Ca
0.250 0.750 0.727 Tm
0.750 0.250 0.273 Tm
0.007 0.750 0.997 F
0.038 0.250 0.448 F
0.250 0.509 0.742 F
0.250 0.991 0.742 F
0.462 0.250 0.448 F
0.493 0.750 0.997 F
0.507 0.250 0.003 F
0.538 0.750 0.552 F
0.750 0.009 0.258 F
0.750 0.491 0.258 F
0.962 0.750 0.552 F
0.993 0.250 0.003 F
```

Output
- ΔE_f (raw): -3.259 eV/atom
- Uncorrected energy: -104.00 eV/cell

Number 1 is which compound?
Cs3Ca2TlF9

What did the sixth record say?
Density functional theory data (GGA-PBE) for a relaxed Cs2CaTmF6 crystal.

Structure (POSCAR):
```
Cs2CaTmF6
1.0
6.715 0.000 0.000
0.000 9.165 0.000
0.000 0.000 6.358
Cs Ca Tm F
4 2 2 12
direct
0.250 0.001 0.228 Cs
0.250 0.499 0.228 Cs
0.750 0.501 0.772 Cs
0.750 0.999 0.772 Cs
0.250 0.250 0.738 Ca
0.750 0.750 0.262 Ca
0.250 0.750 0.727 Tm
0.750 0.250 0.273 Tm
0.007 0.750 0.997 F
0.038 0.250 0.448 F
0.250 0.509 0.742 F
0.250 0.991 0.742 F
0.462 0.250 0.448 F
0.493 0.750 0.997 F
0.507 0.250 0.003 F
0.538 0.750 0.552 F
0.750 0.009 0.258 F
0.750 0.491 0.258 F
0.962 0.750 0.552 F
0.993 0.250 0.003 F
```

Output
- ΔE_f (raw): -3.259 eV/atom
- Uncorrected energy: -104.00 eV/cell